DFT (PBE-GGA) results for a relaxed structure of LaZnPb4.

Cell and atoms, written as POSCAR:
```
LaZnPb4
1.0
-4.505 -1.026 4.492
-5.784 -2.277 -1.698
-1.678 -6.022 1.563
La Pb Zn
1 4 1
Direct
0.000 0.000 0.000
0.374 0.374 0.374
0.374 0.879 0.374
0.374 0.374 0.879
0.879 0.374 0.374
0.750 0.750 0.750
```

Calculated values
ΔE_f	-0.27	kcal/mol of atoms

=====

DFT (PBE-GGA) results for a relaxed structure of Be2CS.

Cell and atoms, written as POSCAR:
```
Be2CS
1.0
0.000 2.691 2.691
2.691 0.000 2.691
2.691 2.691 0.000
C Be S
1 2 1
Direct
0.000 0.000 0.000
0.250 0.250 0.250
0.750 0.750 0.750
0.500 0.500 0.500
```

Calculated values
energy relative to the elements, uncorrected	1276.9	meV per atom

=====

DFT (PBE-GGA) results for a relaxed structure of CaHfBe17.

Cell and atoms, written as POSCAR:
```
CaHfBe17
1.0
5.694 0.011 0.685
0.609 5.662 0.685
0.013 0.011 5.735
Be Hf Ca
17 1 1
Direct
0.283 0.715 0.001
0.157 0.658 0.658
0.658 0.157 0.658
0.906 0.906 0.906
0.339 0.843 0.339
0.001 0.715 0.283
0.006 0.497 0.006
0.658 0.658 0.157
0.001 0.283 0.715
0.098 0.098 0.098
0.715 0.283 0.001
0.497 0.006 0.006
0.715 0.001 0.283
0.283 0.001 0.715
0.843 0.339 0.339
0.006 0.006 0.497
0.339 0.339 0.843
0.337 0.337 0.337
0.660 0.660 0.660
```

Calculated values
ΔE_f	-2.39	kcal/mol of atoms

=====

DFT (PBE-GGA) results for a relaxed structure of NaAc2Rh4Pb3.

Cell and atoms, written as POSCAR:
```
NaAc2Rh4Pb3
1.0
4.376 0.000 0.000
0.000 4.376 0.000
0.000 0.000 12.535
Ac Pb Rh Na
2 3 4 1
Direct
0.000 0.500 0.739
0.500 0.000 0.261
0.500 0.000 0.875
0.000 0.500 0.125
0.000 0.000 0.500
0.500 0.500 0.000
0.500 0.000 0.657
0.000 0.000 0.000
0.000 0.500 0.343
0.500 0.500 0.500
```

Calculated values
ΔE_f	-8.13	kcal/mol of atoms

=====

Size of the total moment (computed, μB per formula unit): 0.0; 0.0; 0.0; 0.0
Mass density (computed, g/cm3): 9.066; 2.647; 3.341; 10.446